# Zr2FeW (GGA-PBE, optimized geometry)
# - Calculated formation energy: 34 kJ/mol of formula units
# - Space-group type: P4/mmm, No. 123
# - VASP energy: -9.54 eV/atom
data_Zr2FeW
_chemical_formula_sum 'Zr2 Fe1 W1'
_cell_length_a 4.6353
_cell_length_b 4.6353
_cell_length_c 3.2835
_cell_angle_alpha 90.00
_cell_angle_beta 90.00
_cell_angle_gamma 89.98
_symmetry_space_group_name_H-M 'P 1'
_symmetry_Int_Tables_number 1
loop_
_symmetry_equiv_pos_as_xyz
'x,y,z'
loop_
_atom_site_label
_atom_site_type_symbol
_atom_site_fract_x
_atom_site_fract_y
_atom_site_fract_z
Zr1 Zr 0.0000 0.0000 0.0000
Zr2 Zr 0.5000 0.5000 0.0000
Fe1 Fe 0.5000 0.0000 0.5000
W1 W 0.0000 0.5000 0.5000